# 1
{"formula": "TeP3S", "functional": "PBE-GGA", "state": "optimized geometry", "lattice": [[4.599, 0.000, 0.000], [0.000, 4.599, 0.000], [0.000, 0.000, 4.599]], "species": ["Te", "P", "P", "P", "S"], "fractional_positions": [[0.000, 0.000, 0.000], [0.000, 0.500, 0.500], [0.500, 0.000, 0.500], [0.500, 0.500, 0.000], [0.500, 0.500, 0.500]], "space_group": "Pm-3m (221)", "energy_ev_per_atom": -3.81, "e_above_lowest_polymorph_mev_per_atom": 0.0, "e_form_raw_ev_per_fu": 4.4, "volume_a3_per_cell": 97.2}



# 2
{"formula": "IrW", "functional": "PBE-GGA", "state": "optimized geometry", "lattice": [[0.000, 3.142, 3.142], [3.142, 0.000, 3.142], [3.142, 3.142, 0.000]], "species": ["Ir", "Ir", "W", "W"], "fractional_positions": [[0.125, 0.125, 0.125], [0.875, 0.875, 0.875], [0.375, 0.375, 0.375], [0.625, 0.625, 0.625]], "space_group": "Fd-3m (227)", "formation_energy_ev_per_fu": 0.3, "energy_ev_per_atom": -10.73, "e_above_lowest_polymorph_mev_per_atom": 475.1, "volume_a3_per_cell": 62.0}



# 3
{"formula": "ScRe2Hg", "functional": "PBE-GGA", "state": "optimized geometry", "lattice": [[4.916, -1.555, 0.000], [4.916, 1.555, 0.000], [-0.884, 0.000, 4.722]], "species": ["Sc", "Re", "Re", "Hg"], "fractional_positions": [[0.000, 0.000, 0.000], [0.246, 0.246, 0.793], [0.754, 0.754, 0.207], [0.500, 0.500, 0.500]], "space_group": "C2/m (12)", "formation_energy_ev_per_fu": 1.4, "energy_ev_per_atom": -7.52, "volume_a3_per_cell": 72.2}



# 4
{"formula": "Ga2Cu3Au8", "functional": "PBE-GGA", "state": "optimized geometry", "lattice": [[7.885, 0.000, 0.000], [0.000, 4.096, 0.000], [-3.474, 0.000, 7.226]], "species": ["Ga", "Ga", "Cu", "Cu", "Cu", "Au", "Au", "Au", "Au", "Au", "Au", "Au", "Au"], "fractional_positions": [[0.247, 0.000, 0.265], [0.753, 0.000, 0.735], [0.262, 0.500, 0.766], [0.500, 0.000, 0.000], [0.738, 0.500, 0.234], [0.113, 0.500, 0.391], [0.120, 0.000, 0.882], [0.366, 0.500, 0.134], [0.374, 0.000, 0.625], [0.626, 0.000, 0.375], [0.634, 0.500, 0.866], [0.880, 0.000, 0.118], [0.887, 0.500, 0.609]], "space_group": "P2/m (10)", "formation_energy_ev_per_fu": -0.5, "energy_ev_per_atom": -3.47, "e_above_lowest_polymorph_mev_per_atom": 0.0, "volume_a3_per_cell": 233.4}



# 5
{"formula": "Hg2IrBr", "functional": "PBE-GGA", "state": "optimized geometry", "lattice": [[4.960, -1.567, 0.000], [4.960, 1.567, 0.000], [-2.565, 0.000, 6.752]], "species": ["Hg", "Hg", "Ir", "Br"], "fractional_positions": [[0.000, 0.000, 0.000], [0.654, 0.654, 0.681], [0.381, 0.381, 0.667], [0.293, 0.293, 0.304]], "space_group": "Cm (8)", "energy_ev_per_atom": -2.46, "e_above_lowest_polymorph_mev_per_atom": 11.0, "e_form_raw_ev_per_fu": 1.3, "volume_a3_per_cell": 105.0}



# 6
{"formula": "Tl2Sn3S8", "functional": "PBE-GGA", "state": "optimized geometry", "lattice": [[6.956, -3.787, 0.000], [6.956, 3.787, 0.000], [-1.480, 0.000, 6.441]], "species": ["Tl", "Tl", "Sn", "Sn", "Sn", "S", "S", "S", "S", "S", "S", "S", "S"], "fractional_positions": [[0.235, 0.235, 0.153], [0.765, 0.765, 0.847], [0.248, 0.752, 0.500], [0.500, 0.500, 0.000], [0.752, 0.248, 0.500], [0.116, 0.116, 0.442], [0.155, 0.635, 0.120], [0.365, 0.845, 0.880], [0.394, 0.394, 0.616], [0.606, 0.606, 0.384], [0.635, 0.155, 0.120], [0.845, 0.365, 0.880], [0.884, 0.884, 0.558]], "space_group": "C2/m (12)", "energy_ev_per_atom": -4.07, "e_form_raw_ev_per_fu": -3.1, "volume_a3_per_cell": 339.4}



# 7
{"formula": "Li2PtAu8", "functional": "PBE-GGA", "state": "optimized geometry", "lattice": [[-2.185, 3.432, 6.347], [2.185, -3.432, 6.347], [2.185, 3.432, -6.347]], "species": ["Li", "Li", "Pt", "Au", "Au", "Au", "Au", "Au", "Au", "Au", "Au"], "fractional_positions": [[0.199, 0.199, 0.000], [0.801, 0.801, 0.000], [0.500, 0.500, 0.000], [0.060, 0.351, 0.709], [0.204, 0.000, 0.204], [0.340, 0.840, 0.500], [0.359, 0.649, 0.709], [0.641, 0.351, 0.291], [0.660, 0.160, 0.500], [0.796, 0.000, 0.796], [0.940, 0.649, 0.291]], "space_group": "Immm (71)", "formation_energy_ev_per_fu": -2.1, "energy_ev_per_atom": -3.47, "e_above_lowest_polymorph_mev_per_atom": 25.6, "volume_a3_per_cell": 190.4}



# 8
{"formula": "TiBrCl", "functional": "PBE-GGA", "state": "optimized geometry", "lattice": [[7.698, -1.672, 0.000], [7.698, 1.672, 0.000], [-2.113, 0.000, 5.734]], "species": ["Ti", "Ti", "Br", "Br", "Cl", "Cl"], "fractional_positions": [[0.248, 0.248, 0.187], [0.752, 0.752, 0.813], [0.148, 0.148, 0.497], [0.852, 0.852, 0.503], [0.371, 0.371, 0.019], [0.629, 0.629, 0.981]], "space_group": "C2/m (12)", "energy_ev_per_atom": -5.12, "e_above_lowest_polymorph_mev_per_atom": 0.0, "e_form_raw_ev_per_fu": -3.9, "volume_a3_per_cell": 147.6}



# 9
{"formula": "LiYMn2", "functional": "PBE-GGA", "state": "optimized geometry", "lattice": [[4.110, 0.000, 0.000], [0.000, 4.132, 0.000], [0.000, 0.000, 4.224]], "species": ["Li", "Y", "Mn", "Mn"], "fractional_positions": [[0.000, 0.000, 0.000], [0.500, 0.500, 0.000], [0.000, 0.500, 0.500], [0.500, 0.000, 0.500]], "space_group": "Pmmm (47)", "formation_energy_ev_per_fu": 1.5, "energy_ev_per_atom": -6.30, "e_above_lowest_polymorph_mev_per_atom": 136.8, "volume_a3_per_cell": 71.7}



# 10
{"formula": "NaUBeN3", "functional": "PBE-GGA", "state": "optimized geometry", "lattice": [[6.577, 0.000, 0.000], [0.000, 3.421, 0.000], [-1.814, 0.000, 7.521]], "species": ["Na", "Na", "U", "U", "Be", "Be", "N", "N", "N", "N", "N", "N"], "fractional_positions": [[0.243, 0.250, 0.276], [0.757, 0.750, 0.724], [0.327, 0.250, 0.827], [0.673, 0.750, 0.173], [0.103, 0.750, 0.567], [0.897, 0.250, 0.433], [0.021, 0.250, 0.648], [0.337, 0.750, 0.011], [0.361, 0.750, 0.670], [0.639, 0.250, 0.330], [0.663, 0.250, 0.989], [0.979, 0.750, 0.352]], "space_group": "P2_1/m (11)", "energy_ev_per_atom": -7.83, "e_form_raw_ev_per_fu": -5.7, "volume_a3_per_cell": 169.2}



# 11
{"formula": "Cr3CdIr", "functional": "PBE-GGA", "state": "optimized geometry", "lattice": [[4.777, 0.000, 0.000], [0.000, 4.777, 0.000], [0.000, 0.000, 4.777]], "species": ["Cr", "Cr", "Cr", "Cd", "Ir"], "fractional_positions": [[0.000, 0.000, 0.500], [0.000, 0.500, 0.000], [0.500, 0.000, 0.000], [0.500, 0.500, 0.500], [0.000, 0.000, 0.000]], "space_group": "Pm-3m (221)", "formation_energy_ev_per_fu": 5.3, "energy_ev_per_atom": -6.67, "e_above_lowest_polymorph_mev_per_atom": 0.0, "volume_a3_per_cell": 109.0}



# 12
{"formula": "MgSc2Be", "functional": "PBE-GGA", "state": "optimized geometry", "lattice": [[0.000, 3.405, 3.405], [3.405, 0.000, 3.405], [3.405, 3.405, 0.000]], "species": ["Mg", "Sc", "Sc", "Be"], "fractional_positions": [[0.000, 0.000, 0.000], [0.500, 0.500, 0.500], [0.750, 0.750, 0.750], [0.250, 0.250, 0.250]], "space_group": "F-43m (216)", "formation_energy_ev_per_fu": 1.2, "energy_ev_per_atom": -4.19, "e_above_lowest_polymorph_mev_per_atom": 362.1, "volume_a3_per_cell": 78.9}



Copy entry 7 word for word.
{"formula": "Li2PtAu8", "functional": "PBE-GGA", "state": "optimized geometry", "lattice": [[-2.185, 3.432, 6.347], [2.185, -3.432, 6.347], [2.185, 3.432, -6.347]], "species": ["Li", "Li", "Pt", "Au", "Au", "Au", "Au", "Au", "Au", "Au", "Au"], "fractional_positions": [[0.199, 0.199, 0.000], [0.801, 0.801, 0.000], [0.500, 0.500, 0.000], [0.060, 0.351, 0.709], [0.204, 0.000, 0.204], [0.340, 0.840, 0.500], [0.359, 0.649, 0.709], [0.641, 0.351, 0.291], [0.660, 0.160, 0.500], [0.796, 0.000, 0.796], [0.940, 0.649, 0.291]], "space_group": "Immm (71)", "formation_energy_ev_per_fu": -2.1, "energy_ev_per_atom": -3.47, "e_above_lowest_polymorph_mev_per_atom": 25.6, "volume_a3_per_cell": 190.4}